# 1
Below is a relaxed BaRh2Au crystal, with properties calculated at the PBE level.

Results
- Mass density: 10.87 Mg/m³
- DOS at the Fermi energy: 5.07 states/eV/f.u.

Cell lengths 6.080, 9.798, 3.156 Å; angles 90.00, 118.64, 90.00 degrees
Fractional coordinates of all 8 atoms:
Ba 0.000 0.000 0.000
Ba 0.500 0.500 0.000
Rh 0.250 0.250 0.500
Rh 0.250 0.750 0.500
Rh 0.750 0.250 0.500
Rh 0.750 0.750 0.500
Au 0.000 0.500 0.000
Au 0.500 0.000 0.000



# 2
Below is a relaxed BaRh2Au crystal, with properties calculated at the PBE level.

Results
- Mass density: 9.11 Mg/m³
- DOS at the Fermi energy: 4.71 states/eV/f.u.

Cell lengths 4.520, 4.520, 16.694 Å; angles 90.00, 90.00, 120.00 degrees
Fractional coordinates of all 12 atoms:
Ba 0.000 0.000 0.000
Ba 0.333 0.667 0.667
Ba 0.667 0.333 0.333
Rh 0.000 0.000 0.482
Rh 0.000 0.000 0.809
Rh 0.333 0.667 0.149
Rh 0.333 0.667 0.475
Rh 0.667 0.333 0.142
Rh 0.667 0.333 0.816
Au 0.000 0.000 0.196
Au 0.333 0.667 0.863
Au 0.667 0.333 0.530



# 3
Below is a relaxed Ba4Rh2Au crystal, with properties calculated at the PBE level.

Results
- Mass density: 6.73 Mg/m³
- DOS at the Fermi energy: 3.99 states/eV/f.u.

Cell lengths 8.487, 8.480, 9.890 Å; angles 54.38, 54.31, 71.31 degrees
Fractional coordinates of all 14 atoms:
Ba 0.076 0.210 0.038
Ba 0.210 0.076 0.676
Ba 0.212 0.574 0.174
Ba 0.319 0.681 0.433
Ba 0.574 0.212 0.040
Ba 0.681 0.319 0.567
Ba 0.683 0.817 0.569
Ba 0.817 0.683 0.931
Rh 0.306 0.587 0.803
Rh 0.447 0.946 0.944
Rh 0.587 0.306 0.304
Rh 0.946 0.447 0.663
Au 0.071 0.071 0.429
Au 0.821 0.821 0.179



# 4
Below is a relaxed BaRh2Au crystal, with properties calculated at the PBE level.

Results
- Mass density: 8.51 Mg/m³
- DOS at the Fermi energy: 5.00 states/eV/f.u.

Cell lengths 4.736, 4.736, 18.796 Å; angles 90.00, 90.00, 90.00 degrees
Fractional coordinates of all 16 atoms:
Ba 0.000 0.000 0.000
Ba 0.000 0.500 0.250
Ba 0.500 0.000 0.750
Ba 0.500 0.500 0.500
Rh 0.081 0.250 0.625
Rh 0.250 0.581 0.875
Rh 0.250 0.919 0.375
Rh 0.419 0.250 0.125
Rh 0.581 0.750 0.125
Rh 0.750 0.081 0.375
Rh 0.750 0.419 0.875
Rh 0.919 0.750 0.625
Au 0.000 0.000 0.500
Au 0.000 0.500 0.750
Au 0.500 0.000 0.250
Au 0.500 0.500 0.000



# 5
Below is a relaxed Ba16Rh3Au5 crystal, with properties calculated at the PBE level.

Results
- Mass density: 5.07 Mg/m³
- DOS at the Fermi energy: 16.54 states/eV/f.u.

Cell lengths 9.338, 9.338, 15.203 Å; angles 90.22, 90.22, 59.58 degrees
Fractional coordinates of all 24 atoms:
Ba 0.000 0.000 0.000
Ba 0.001 0.001 0.503
Ba 0.007 0.472 0.510
Ba 0.155 0.155 0.778
Ba 0.170 0.670 0.772
Ba 0.314 0.314 0.272
Ba 0.319 0.841 0.273
Ba 0.472 0.007 0.510
Ba 0.482 0.482 0.514
Ba 0.487 0.972 0.007
Ba 0.500 0.500 0.004
Ba 0.651 0.651 0.776
Ba 0.670 0.170 0.772
Ba 0.828 0.828 0.262
Ba 0.841 0.319 0.273
Ba 0.972 0.487 0.007
Rh 0.159 0.159 0.390
Rh 0.327 0.824 0.889
Rh 0.824 0.327 0.889
Au 0.157 0.658 0.387
Au 0.325 0.325 0.650
Au 0.657 0.657 0.147
Au 0.658 0.157 0.387
Au 0.825 0.825 0.887



# 6
Below is a relaxed BaRh2Au crystal, with properties calculated at the PBE level.

Results
- Mass density: 10.24 Mg/m³
- DOS at the Fermi energy: 3.35 states/eV/f.u.

Cell lengths 3.171, 4.706, 5.944 Å; angles 90.00, 99.07, 90.00 degrees
Fractional coordinates of all 4 atoms:
Ba 0.000 0.000 0.000
Rh 0.297 0.500 0.680
Rh 0.703 0.500 0.320
Au 0.500 0.000 0.500



no.,volume (Å³/cell),total energy (eV for the cell shown),ΔE_f (eV per atom)
1,165.0,-37.14,0.333
2,295.4,-61.98,-0.189
3,469.7,-55.10,-0.268
4,421.5,-78.53,0.068
5,1143.1,-78.96,-0.407
6,87.6,-18.99,0.228